# 1
First-principles (PBE) data for crystalline CsHoRuO6 at its relaxed geometry, as listed in Alexandria.

Cell: 5.6567 5.6568 6.4845 Å, 90.00 90.00 60.00°
With the nearest neighbours (Å) after each atom.
Fractional positions:
Cs  0.0000  0.0000  0.0000  6 O 3.11
Ho  0.6666  0.6667  0.5000  6 O 2.24
Ru  0.3333  0.3333  0.5000  6 O 1.89
O  0.0452  0.3761  0.3283  1 Ru 1.89
O  0.3761  0.0452  0.6717  1 Ru 1.89
O  0.5787  0.3761  0.6717  1 Ru 1.89
O  0.0452  0.5787  0.6717  1 Ru 1.89
O  0.3761  0.5787  0.3283  1 Ru 1.89
O  0.5787  0.0452  0.3283  1 Ru 1.89

Output
* SG: P312
* crystal system: trigonal
* total magnetic moment: 0.00 μB per cell
* energy relative to the elements, uncorrected: -1.533 eV per atom
* calculated volume: 20.0 Å³ per atom


# 2
First-principles (PBE) data for crystalline CsHo2RuO8 at its relaxed geometry, as listed in Alexandria.

Cell: 4.7449 4.7587 7.8020 Å, 84.75 84.64 91.19°
With the nearest neighbours (Å) after each atom.
Fractional positions:
Cs  0.0000  0.0000  0.5000  2 O 2.59
Ho  0.4496  0.4507  0.7875  6 O 2.24-2.38
Ho  0.5504  0.5493  0.2125  6 O 2.24-2.38
Ru  0.0000  0.0000  0.0000  6 O 1.92-1.93
O  0.1172  0.7292  0.1757  1 Ru 1.92
O  0.7235  0.7247  0.9466  1 Ru 1.93
O  0.7295  0.1173  0.1764  1 Ru 1.92
O  0.8828  0.2708  0.8243  1 Ru 1.92
O  0.2765  0.2753  0.0534  1 Ru 1.93
O  0.2705  0.8827  0.8236  1 Ru 1.92
O  0.6129  0.6103  0.4959  1 O 1.48
O  0.3871  0.3897  0.5041  1 O 1.48

Output
* SG: P-1
* N(E_F): 0.44 states/eV per atom
* crystal system: triclinic
* total magnetic moment: 1.23 μB per cell
* energy relative to the elements, uncorrected: -1.821 eV per atom
* calculated volume: 14.5 Å³ per atom


# 3
First-principles (PBE) data for crystalline CsHoRu2O8 at its relaxed geometry, as listed in Alexandria.

Cell: 5.9438 5.9438 8.5506 Å, 90.00 90.00 120.00°
With the nearest neighbours (Å) after each atom.
Fractional positions:
Cs  0.0000  0.0000  0.0000  12 O 3.39-3.47
Ho  0.0000  0.0000  0.5000  6 O 2.24
Ru  0.6667  0.3333  0.2689  4 O 1.75-1.80
Ru  0.3333  0.6667  0.7311  4 O 1.75-1.80
O  0.3333  0.6667  0.9363  1 Ru 1.75
O  0.3391  0.2078  0.3390  1 Ru 1.80
O  0.7922  0.1313  0.3390  1 Ru 1.80
O  0.6667  0.3333  0.0637  1 Ru 1.75
O  0.2078  0.8687  0.6610  1 Ru 1.80
O  0.6609  0.7922  0.6610  1 Ru 1.80
O  0.1313  0.3391  0.6610  1 Ru 1.80
O  0.8687  0.6609  0.3390  1 Ru 1.80

Output
* SG: P-3
* N(E_F): 0.20 states/eV per atom
* crystal system: trigonal
* total magnetic moment: 4.03 μB per cell
* energy relative to the elements, uncorrected: -1.510 eV per atom
* calculated volume: 21.8 Å³ per atom


> Look up the calculated volume of the third one.

21.8 Å³ per atom


> Which of these has the highest energy relative to the elements, uncorrected?

CsHoRu2O8


> Which formula does entry 3 have?

CsHoRu2O8